A plane-wave DFT calculation with PBE was carried out for a geometry-optimized Li3SeCl structure.

Values from the calculation:
**DOS(E_F)**: 0.0 states/eV per cell
**Raw formation energy**: -118 kJ/mol of atoms
**Offset from the most stable computed form**: 0.17 eV/f.u.
**Space group**: No. 221

Lattice parameters (Å, degrees): 4.496 4.496 4.496 90.00 90.00 90.00
Atoms (fractional coordinates):
1 Li 0.000 0.000 0.500
2 Li 0.000 0.500 0.000
3 Li 0.500 0.000 0.000
4 Se 0.500 0.500 0.500
5 Cl 0.000 0.000 0.000

---

A plane-wave DFT calculation with PBE was carried out for a geometry-optimized Hf5ZrSb5 structure.

Values from the calculation:
**DOS(E_F)**: 7.7 states/eV per cell
**Raw formation energy**: -27 kJ/mol of atoms
**Space group**: No. 12

Lattice parameters (Å, degrees): 7.023 7.023 7.968 104.95 104.95 47.34
Atoms (fractional coordinates):
1 Hf 0.000 0.000 0.000
2 Hf 0.337 0.337 0.148
3 Hf 0.415 0.415 0.816
4 Hf 0.585 0.585 0.184
5 Hf 0.663 0.663 0.852
6 Zr 0.000 0.000 0.500
7 Sb 0.171 0.171 0.332
8 Sb 0.180 0.180 0.812
9 Sb 0.500 0.500 0.500
10 Sb 0.820 0.820 0.188
11 Sb 0.829 0.829 0.668

---

A plane-wave DFT calculation with PBE was carried out for a geometry-optimized Fe2RuRh structure.

Values from the calculation:
**DOS(E_F)**: 5.8 states/eV per cell
**ΔE_f**: 0.18 eV per atom
**Space group**: No. 65

Lattice parameters (Å, degrees): 2.634 2.634 8.453 90.00 90.00 113.65
Atoms (fractional coordinates):
1 Fe 0.000 0.000 0.249
2 Fe 0.000 0.000 0.751
3 Ru 0.500 0.500 0.000
4 Rh 0.500 0.500 0.500